{"formula": "ScC2Br2", "functional": "PBEsol", "state": "optimized geometry", "e_form_raw_ev_per_atom": 1.22, "magmom_total_mub_per_fu": 0.0, "e_tot_ev_per_atom": -4.710, "space_group": "No. 139", "dos_at_fermi_per_ev_cell": 2.3, "lattice": [[-0.019, 2.837, 0.941], [-2.773, 0.334, -1.065], [-2.376, -4.560, 8.948]], "species": ["Sc", "C", "C", "Br", "Br"], "frac_coords": [[0.000, 0.000, 0.000], [0.750, 0.250, 0.500], [0.250, 0.750, 0.500], [0.584, 0.584, 0.168], [0.416, 0.416, 0.832]]}